[1]
A plane-wave DFT calculation with GGA-PBEsol was carried out for a relaxed NaScBe2 crystal.

Computed properties:
Formation energy in eV per atom: 0.55
Magnetization in Bohr magnetons per cell: 0.0
Crystal system: cubic
DOS at the Fermi energy in states/eV/cell: 12.3

Unit cell a=6.3708 b=6.3708 c=6.3708 alpha=90.00 beta=90.00 gamma=90.00
Space group Fm-3m (No. 225)
Symmetry-distinct sites (fractional):
Na 0.0000 0.0000 0.0000 x4
Sc 0.0000 0.0000 0.5000 x4
Be 0.2500 0.2500 0.2500 x8

=====

[2]
A plane-wave DFT calculation with GGA-PBEsol was carried out for a relaxed Sn4As3 crystal.

Computed properties:
Formation energy in eV per atom: -0.09
Magnetization in Bohr magnetons per cell: 0.0
Crystal system: trigonal
DOS at the Fermi energy in states/eV/cell: 5.7

Unit cell a=4.0805 b=4.0805 c=35.7380 alpha=90.00 beta=90.00 gamma=120.00
Space group R-3m (No. 166, hexagonal axes)
Symmetry-distinct sites (fractional):
Sn 0.0000 0.0000 0.1362 x6
Sn 0.0000 0.0000 0.2885 x6
As 0.0000 0.0000 0.0000 x3
As 0.0000 0.0000 0.4293 x6

=====

[3]
A plane-wave DFT calculation with GGA-PBEsol was carried out for a relaxed Rb2MnCu crystal.

Computed properties:
Formation energy in eV per atom: 1.12
Magnetization in Bohr magnetons per cell: 17.9
Crystal system: cubic
DOS at the Fermi energy in states/eV/cell: 19.4

Unit cell a=8.2839 b=8.2839 c=8.2839 alpha=90.00 beta=90.00 gamma=90.00
Space group Fm-3m (No. 225)
Symmetry-distinct sites (fractional):
Rb 0.2500 0.2500 0.2500 x8
Mn 0.0000 0.0000 0.0000 x4
Cu 0.0000 0.0000 0.5000 x4

=====

[4]
A plane-wave DFT calculation with GGA-PBEsol was carried out for a relaxed YFe3Ag crystal.

Computed properties:
Formation energy in eV per atom: 1.18
Magnetization in Bohr magnetons per cell: 8.2
Crystal system: cubic
DOS at the Fermi energy in states/eV/cell: 7.7

Unit cell a=4.6493 b=4.6493 c=4.6493 alpha=90.00 beta=90.00 gamma=90.00
Space group Pm-3m (No. 221)
Symmetry-distinct sites (fractional):
Y 0.0000 0.0000 0.0000 x1
Fe 0.0000 0.5000 0.5000 x3
Ag 0.5000 0.5000 0.5000 x1

=====

[5]
A plane-wave DFT calculation with GGA-PBEsol was carried out for a relaxed Tl4HgI6 crystal.

Computed properties:
Uncorrected formation energy in meV/atom: -507
Magnetization in Bohr magnetons per cell: 0.0
Crystal system: tetragonal

Unit cell a=9.1302 b=9.1302 c=9.2225 alpha=90.00 beta=90.00 gamma=90.00
Space group P4/mnc (No. 128)
Symmetry-distinct sites (fractional):
Tl 0.1469 0.3531 0.2500 x8
Hg 0.0000 0.0000 0.0000 x2
I 0.0000 0.0000 0.2974 x4
I 0.1421 0.6740 0.0000 x8

=====

[6]
A plane-wave DFT calculation with GGA-PBEsol was carried out for a relaxed MnBiO3 crystal.

Computed properties:
Uncorrected formation energy in meV/atom: -1355
Magnetization in Bohr magnetons per cell: 28.1
Crystal system: monoclinic
DOS at the Fermi energy in states/eV/cell: 4.2

Unit cell a=10.0491 b=5.3209 c=10.5240 alpha=90.00 beta=118.25 gamma=90.00
Space group P2_1/c (No. 14)
Symmetry-distinct sites (fractional):
Mn 0.0000 0.0000 0.0000 x2
Mn 0.2144 0.0153 0.7579 x4
Mn 0.5000 0.0000 0.0000 x2
Bi 0.1860 0.0164 0.4326 x4
Bi 0.3583 0.0083 0.2013 x4
O 0.1136 0.7008 0.0986 x4
O 0.1183 0.1808 0.1725 x4
O 0.1476 0.0680 0.9409 x4
O 0.3471 0.7298 0.3819 x4
O 0.3655 0.2474 0.3907 x4
O 0.3698 0.0639 0.6545 x4

=====

[7]
A plane-wave DFT calculation with GGA-PBEsol was carried out for a relaxed HoNiSb crystal.

Computed properties:
Uncorrected formation energy in meV/atom: -951
Magnetization in Bohr magnetons per cell: 0.0
Crystal system: cubic
DOS at the Fermi energy in states/eV/cell: 0.0

Unit cell a=6.2362 b=6.2362 c=6.2362 alpha=90.00 beta=90.00 gamma=90.00
Space group F-43m (No. 216)
Symmetry-distinct sites (fractional):
Ho 0.0000 0.0000 0.0000 x4
Ni 0.2500 0.2500 0.7500 x4
Sb 0.0000 0.0000 0.5000 x4

=====

[8]
A plane-wave DFT calculation with GGA-PBEsol was carried out for a relaxed LaSiTeI2 crystal.

Computed properties:
Uncorrected formation energy in meV/atom: -302
Magnetization in Bohr magnetons per cell: 0.5
Crystal system: tetragonal
DOS at the Fermi energy in states/eV/cell: 5.8

Unit cell a=5.3620 b=5.3620 c=5.4250 alpha=90.00 beta=90.00 gamma=90.00
Space group P4/mmm (No. 123)
Symmetry-distinct sites (fractional):
La 0.0000 0.0000 0.0000 x1
Si 0.5000 0.5000 0.5000 x1
Te 0.5000 0.5000 0.0000 x1
I 0.0000 0.5000 0.5000 x2

=====

Q: Number 6 is which compound?
A: MnBiO3